No. 1
The following is a SCAN calculation of a PBEsol-optimized structure of KLi2Cr, from Alexandria.

## Properties
crystal system = tetragonal
total magnetization = 5.1 μB/f.u.
polymorph energy (0 for the lowest one) = 137 meV per atom
calculated formation energy = 0.5194 eV per atom

Geometry as POSCAR:
```
KLi2Cr
1.0
-4.138 4.138 3.371
4.138 -4.138 3.371
4.138 4.138 -3.371
K Li Cr
2 4 2
Cartesian
0.000 0.000 0.000 K
0.000 4.138 1.685 K
2.069 2.481 -0.843 Li
5.795 2.069 0.843 Li
2.069 1.657 2.528 Li
-1.657 2.069 4.213 Li
4.138 0.000 1.685 Cr
0.000 0.000 3.371 Cr
```



No. 2
The following is a SCAN calculation of a PBEsol-optimized structure of K2LiCr, from Alexandria.

## Properties
crystal system = tetragonal
total magnetization = 5.3 μB/f.u.
polymorph energy (0 for the lowest one) = 70 meV per atom
calculated formation energy = 0.5350 eV per atom

Geometry as POSCAR:
```
K2LiCr
1.0
-2.808 2.808 4.859
2.808 -2.808 4.859
2.808 2.808 -4.859
K Li Cr
2 1 1
Cartesian
2.808 0.000 2.430 K
0.000 2.808 2.430 K
0.000 0.000 0.000 Li
0.000 0.000 4.859 Cr
```



No. 3
The following is a SCAN calculation of a PBEsol-optimized structure of K2LiCr, from Alexandria.

## Properties
crystal system = orthorhombic
total magnetization = 5.2 μB/f.u.
polymorph energy (0 for the lowest one) = 0 meV per atom
calculated formation energy = 0.4649 eV per atom

Geometry as POSCAR:
```
K2LiCr
1.0
-1.803 3.178 6.518
1.803 -3.178 6.518
1.803 3.178 -6.518
K Li Cr
2 1 1
Cartesian
0.000 0.000 0.000 K
0.000 3.178 2.657 K
1.803 0.000 3.676 Li
0.000 0.000 5.866 Cr
```



No. 4
The following is a SCAN calculation of a PBEsol-optimized structure of KLi2Cr, from Alexandria.

## Properties
crystal system = monoclinic
total magnetization = 4.9 μB/f.u.
polymorph energy (0 for the lowest one) = 24 meV per atom
calculated formation energy = 0.4067 eV per atom

Geometry as POSCAR:
```
KLi2Cr
1.0
4.949 -1.578 0.000
4.949 1.578 0.000
-0.607 0.000 7.144
K Li Cr
1 2 1
Cartesian
0.000 0.000 0.000 K
4.687 0.000 3.756 Li
7.346 0.000 2.494 Li
1.994 0.000 4.813 Cr
```



No. 5
The following is a SCAN calculation of a PBEsol-optimized structure of K8Li9Cr4O16, from Alexandria.

## Properties
crystal system = triclinic
total magnetization = 9.0 μB/f.u.
E_form (uncorrected) = -2.0152 eV per atom

Geometry as POSCAR:
```
K8Li9Cr4O16
1.0
5.447 0.000 0.000
0.158 9.016 0.000
1.529 0.288 10.118
K Li Cr O
8 9 4 16
Cartesian
0.000 0.000 0.000 K
0.880 7.228 4.892 K
3.123 2.096 7.944 K
2.532 8.916 2.782 K
3.553 4.633 5.224 K
3.167 6.886 0.027 K
4.839 2.219 2.698 K
5.906 4.725 7.855 K
1.077 4.395 3.503 Li
1.882 7.033 8.352 Li
2.890 4.980 9.539 Li
2.220 2.320 4.518 Li
3.010 0.257 5.732 Li
3.221 4.640 2.014 Li
3.832 6.663 3.384 Li
5.682 2.680 9.627 Li
6.490 9.059 7.149 Li
0.423 6.293 1.858 Cr
2.045 2.616 0.908 Cr
3.914 7.222 6.994 Cr
5.608 2.120 5.912 Cr
0.926 3.616 5.315 O
0.451 6.309 0.059 O
1.218 0.817 5.247 O
0.483 2.731 0.095 O
2.040 6.040 2.717 O
2.840 8.553 7.606 O
2.150 2.898 2.688 O
3.227 5.704 7.693 O
3.656 7.417 5.221 O
2.934 1.152 0.504 O
2.992 3.938 0.139 O
3.937 1.964 5.332 O
5.606 7.359 7.546 O
4.880 5.092 2.893 O
5.009 7.821 2.272 O
5.791 1.944 7.678 O
```



No. 6
The following is a SCAN calculation of a PBEsol-optimized structure of KLiCr2O, from Alexandria.

## Properties
crystal system = tetragonal
total magnetization = 7.5 μB/f.u.
E_form (uncorrected) = -0.2869 eV per atom

Geometry as POSCAR:
```
KLiCr2O
1.0
3.982 0.000 0.000
0.000 3.982 0.000
0.000 0.000 5.320
K Li Cr O
1 1 2 1
Cartesian
0.000 0.000 0.000 K
1.991 1.991 0.000 Li
0.000 1.991 2.660 Cr
1.991 0.000 2.660 Cr
0.000 0.000 2.660 O
```



No. 7
The following is a SCAN calculation of a PBEsol-optimized structure of KLiCr2S, from Alexandria.

## Properties
crystal system = tetragonal
total magnetization = 11.4 μB/f.u.
E_form (uncorrected) = 1.5067 eV per atom

Geometry as POSCAR:
```
KLiCr2S
1.0
5.304 0.000 0.000
0.000 5.304 0.000
0.000 0.000 4.915
K Li Cr S
1 1 2 1
Cartesian
0.000 0.000 0.000 K
0.000 0.000 2.457 Li
0.000 2.652 0.000 Cr
2.652 0.000 0.000 Cr
2.652 2.652 2.457 S
```



No. 8
The following is a SCAN calculation of a PBEsol-optimized structure of KMg2CrNi, from Alexandria.

## Properties
crystal system = tetragonal
total magnetization = 4.1 μB/f.u.
calculated formation energy = 0.3035 eV per atom

Geometry as POSCAR:
```
KMg2CrNi
1.0
4.970 0.000 0.000
0.000 4.970 0.000
0.000 0.000 4.712
K Mg Cr Ni
1 2 1 1
Cartesian
0.000 0.000 0.000 K
0.000 2.485 2.356 Mg
2.485 0.000 2.356 Mg
2.485 2.485 0.000 Cr
2.485 2.485 2.356 Ni
```



No. 9
The following is a SCAN calculation of a PBEsol-optimized structure of KMg30CrO32, from Alexandria.

## Properties
crystal system = tetragonal
total magnetization = 3.0 μB/f.u.
E_form (uncorrected) = -2.9149 eV per atom

Geometry as POSCAR:
```
KMg30CrO32
1.0
8.499 0.000 0.000
0.000 8.499 0.000
0.000 0.000 8.501
K Mg Cr O
1 30 1 32
Cartesian
0.000 0.000 0.000 K
0.000 0.000 4.251 Mg
0.000 2.127 2.139 Mg
0.000 2.127 6.362 Mg
0.000 4.250 0.000 Mg
0.000 4.250 4.251 Mg
0.000 6.372 2.139 Mg
0.000 6.372 6.362 Mg
2.110 4.250 2.134 Mg
2.110 4.250 6.368 Mg
2.118 2.118 0.000 Mg
2.117 2.117 4.251 Mg
2.118 6.381 0.000 Mg
2.117 6.382 4.251 Mg
2.127 0.000 2.139 Mg
2.127 0.000 6.362 Mg
4.250 0.000 0.000 Mg
4.250 0.000 4.251 Mg
4.250 2.110 2.134 Mg
4.250 2.110 6.368 Mg
4.250 4.250 4.251 Mg
4.250 6.389 2.134 Mg
4.250 6.389 6.368 Mg
6.372 0.000 2.139 Mg
6.372 0.000 6.362 Mg
6.381 2.118 0.000 Mg
6.382 2.117 4.251 Mg
6.381 6.381 0.000 Mg
6.382 6.382 4.251 Mg
6.389 4.250 2.134 Mg
6.389 4.250 6.368 Mg
4.250 4.250 0.000 Cr
0.000 0.000 2.322 O
0.000 0.000 6.179 O
0.000 2.168 4.251 O
0.000 2.332 0.000 O
0.000 4.250 2.148 O
0.000 4.250 6.353 O
0.000 6.167 0.000 O
0.000 6.331 4.251 O
2.131 2.131 2.119 O
2.131 2.131 6.382 O
2.131 6.368 2.119 O
2.131 6.368 6.382 O
2.156 4.250 4.251 O
2.168 0.000 4.251 O
2.236 4.250 0.000 O
2.332 0.000 0.000 O
4.250 0.000 2.148 O
4.250 0.000 6.353 O
4.250 2.156 4.251 O
4.250 2.236 0.000 O
4.250 4.250 2.051 O
4.250 4.250 6.450 O
4.250 6.263 0.000 O
4.250 6.343 4.251 O
6.167 0.000 0.000 O
6.263 4.250 0.000 O
6.331 0.000 4.251 O
6.343 4.250 4.251 O
6.368 2.131 2.119 O
6.368 2.131 6.382 O
6.368 6.368 2.119 O
6.368 6.368 6.382 O
```



No. 10
The following is a SCAN calculation of a PBEsol-optimized structure of KMn2Cr, from Alexandria.

## Properties
crystal system = cubic
total magnetization = 3.6 μB/f.u.
calculated formation energy = 0.7099 eV per atom

Geometry as POSCAR:
```
KMn2Cr
1.0
0.000 3.343 3.343
3.343 0.000 3.343
3.343 3.343 0.000
K Mn Cr
1 2 1
Cartesian
0.000 0.000 0.000 K
1.671 1.671 1.671 Mn
5.014 5.014 5.014 Mn
3.343 3.343 3.343 Cr
```



No. 11
The following is a SCAN calculation of a PBEsol-optimized structure of K2MnCr, from Alexandria.

## Properties
crystal system = tetragonal
total magnetization = 0.0 μB/f.u.
polymorph energy (0 for the lowest one) = 0 meV per atom
calculated formation energy = 0.4459 eV per atom

Geometry as POSCAR:
```
K2MnCr
1.0
3.374 0.000 0.000
0.000 3.374 0.000
0.000 0.000 10.275
K Mn Cr
2 1 1
Cartesian
0.000 0.000 0.000 K
1.687 1.687 4.125 K
0.000 0.000 6.932 Mn
1.687 1.687 7.445 Cr
```



No. 12
The following is a SCAN calculation of a PBEsol-optimized structure of KMnCr4, from Alexandria.

## Properties
crystal system = cubic
total magnetization = 0.1 μB/f.u.
calculated formation energy = 1.2145 eV per atom

Geometry as POSCAR:
```
KMnCr4
1.0
0.000 3.481 3.481
3.481 0.000 3.481
3.481 3.481 0.000
K Mn Cr
1 1 4
Cartesian
0.000 0.000 0.000 K
5.221 5.221 5.221 Mn
2.606 2.606 2.606 Cr
4.356 4.356 2.606 Cr
4.356 2.606 4.356 Cr
2.606 4.356 4.356 Cr
```



No. 13
The following is a SCAN calculation of a PBEsol-optimized structure of K2MnCr, from Alexandria.

## Properties
crystal system = orthorhombic
total magnetization = 0.1 μB/f.u.
polymorph energy (0 for the lowest one) = 150 meV per atom
calculated formation energy = 0.5961 eV per atom

Geometry as POSCAR:
```
K2MnCr
1.0
-1.738 3.096 5.876
1.738 -3.096 5.876
1.738 3.096 -5.876
K Mn Cr
2 1 1
Cartesian
0.000 0.000 0.000 K
0.000 3.096 2.348 K
1.738 0.000 3.315 Mn
0.000 0.000 4.804 Cr
```



No. 14
The following is a SCAN calculation of a PBEsol-optimized structure of KMn2Cr2O10, from Alexandria.

## Properties
crystal system = monoclinic
total magnetization = 7.0 μB/f.u.
E_form (uncorrected) = -1.9458 eV per atom

Geometry as POSCAR:
```
KMn2Cr2O10
1.0
4.612 -2.857 0.000
4.612 2.857 0.000
-2.886 0.000 7.657
K Mn Cr O
1 2 2 10
Cartesian
0.000 0.000 0.000 K
0.863 1.429 3.829 Mn
0.863 -1.429 3.829 Mn
3.338 0.000 1.925 Cr
3.000 0.000 5.732 Cr
-0.030 0.000 4.470 O
2.069 1.329 5.383 O
4.269 1.329 2.274 O
1.905 0.000 2.916 O
2.943 0.000 0.375 O
3.395 0.000 7.282 O
4.433 0.000 4.741 O
2.069 -1.329 5.383 O
4.269 -1.329 2.274 O
6.368 0.000 3.188 O
```



No. 15
The following is a SCAN calculation of a PBEsol-optimized structure of K3MnCrO8, from Alexandria.

## Properties
crystal system = trigonal
total magnetization = 0.1 μB/f.u.
E_form (uncorrected) = -1.9185 eV per atom

Geometry as POSCAR:
```
K3MnCrO8
1.0
2.875 1.660 7.032
-2.875 1.660 7.032
0.000 -3.319 7.032
K Mn Cr O
3 1 1 8
Cartesian
0.000 0.000 0.000 K
0.000 0.000 4.081 K
0.000 0.000 16.609 K
0.000 0.000 12.363 Mn
0.000 0.000 8.465 Cr
-1.314 -0.759 11.827 O
0.000 -1.550 9.034 O
-1.342 0.775 9.034 O
0.000 0.000 6.822 O
0.000 0.000 13.961 O
1.314 -0.759 11.827 O
0.000 1.517 11.827 O
1.342 0.775 9.034 O
```



No. 16
The following is a SCAN calculation of a PBEsol-optimized structure of KCrN2, from Alexandria.

## Properties
crystal system = orthorhombic
total magnetization = 0.0 μB/f.u.
polymorph energy (0 for the lowest one) = 0 meV per atom
E_form (uncorrected) = -0.6271 eV per atom

Geometry as POSCAR:
```
KCrN2
1.0
5.649 0.000 0.000
0.000 11.341 0.000
0.000 0.000 15.377
K Cr N
16 16 32
Cartesian
0.766 2.831 2.984 K
0.766 2.840 10.672 K
1.409 11.341 1.034 K
1.409 5.670 8.723 K
1.416 0.000 8.723 K
1.416 5.670 1.034 K
2.058 8.501 2.984 K
2.058 8.510 10.672 K
3.590 2.831 4.705 K
3.590 2.840 12.394 K
4.233 11.341 6.655 K
4.233 5.670 14.343 K
4.240 0.000 14.343 K
4.240 5.670 6.655 K
4.882 8.501 4.705 K
4.882 8.510 12.394 K
1.006 2.831 6.811 Cr
1.006 2.839 14.499 Cr
1.407 11.337 4.857 Cr
1.407 5.674 12.545 Cr
1.417 0.004 12.545 Cr
1.417 5.666 4.857 Cr
1.818 8.501 6.811 Cr
1.818 8.510 14.499 Cr
3.830 2.831 0.878 Cr
3.830 2.839 8.567 Cr
4.232 11.337 2.832 Cr
4.232 5.674 10.521 Cr
4.241 0.004 10.521 Cr
4.241 5.666 2.832 Cr
4.642 8.501 0.878 Cr
4.642 8.510 8.567 Cr
0.011 0.000 11.525 N
0.011 5.670 3.836 N
0.723 8.503 0.487 N
0.723 8.509 8.175 N
1.351 1.425 13.547 N
1.351 4.246 5.858 N
1.354 1.408 5.871 N
1.354 4.262 13.560 N
1.470 7.079 5.871 N
1.470 9.932 13.560 N
1.473 7.095 13.547 N
1.473 9.916 5.858 N
2.101 2.832 0.487 N
2.101 2.838 8.175 N
2.814 11.341 3.836 N
2.814 5.671 11.525 N
2.835 0.000 11.541 N
2.835 5.670 3.852 N
3.547 8.503 7.202 N
3.547 8.509 14.891 N
4.176 1.425 9.519 N
4.176 4.246 1.830 N
4.178 1.408 1.818 N
4.178 4.262 9.507 N
4.294 7.079 1.818 N
4.294 9.932 9.507 N
4.297 7.095 9.519 N
4.297 9.916 1.830 N
4.926 2.832 7.202 N
4.926 2.838 14.891 N
5.638 11.341 3.852 N
5.638 5.671 11.541 N
```



No. 17
The following is a SCAN calculation of a PBEsol-optimized structure of KCrN2, from Alexandria.

## Properties
crystal system = tetragonal
total magnetization = 0.0 μB/f.u.
polymorph energy (0 for the lowest one) = 5 meV per atom
E_form (uncorrected) = -0.6220 eV per atom

Geometry as POSCAR:
```
KCrN2
1.0
-2.781 2.781 4.007
2.781 -2.781 4.007
2.781 2.781 -4.007
K Cr N
2 2 4
Cartesian
0.000 0.000 0.000 K
0.000 2.781 2.004 K
2.781 0.000 2.004 Cr
0.000 0.000 4.007 Cr
1.390 2.465 -1.002 N
3.096 1.390 1.002 N
1.390 0.315 3.005 N
-0.315 1.390 5.009 N
```



No. 18
The following is a SCAN calculation of a PBEsol-optimized structure of K3CrN, from Alexandria.

## Properties
crystal system = cubic
total magnetization = 8.1 μB/f.u.
E_form (uncorrected) = 1.3579 eV per atom

Geometry as POSCAR:
```
K3CrN
1.0
6.576 0.000 0.000
0.000 6.576 0.000
0.000 0.000 6.576
K Cr N
3 1 1
Cartesian
0.000 0.000 3.288 K
0.000 3.288 0.000 K
3.288 0.000 0.000 K
0.000 0.000 0.000 Cr
3.288 3.288 3.288 N
```



No. 19
The following is a SCAN calculation of a PBEsol-optimized structure of KCr2NO, from Alexandria.

## Properties
crystal system = tetragonal
total magnetization = 6.8 μB/f.u.
E_form (uncorrected) = -0.1784 eV per atom

Geometry as POSCAR:
```
KCr2NO
1.0
3.808 0.000 0.000
0.000 3.808 0.000
0.000 0.000 5.337
K Cr N O
1 2 1 1
Cartesian
0.000 0.000 0.000 K
0.000 1.904 2.668 Cr
1.904 0.000 2.668 Cr
0.000 0.000 2.668 N
1.904 1.904 0.000 O
```